1.
Below is a relaxed MnIr5Rh2 crystal, with properties calculated at the PBE level.

Calculated values
Formation enthalpy at 0 K ... -0.0883 eV per atom
Calculated volume ... 14.1 Å³/atom
Magnetic moment ... 0.20 μB per atom
Crystal system ... tetragonal
Energy ... -8.611 eV per atom
Symmetry ... I4/mmm, No. 139

abc: 3.8381 3.8381 8.1495
angles: 103.62 103.62 90.00
Element x y z (fractional)
1 Ir 0.6228 0.1228 0.2456
2 Ir 0.3772 0.8772 0.7544
3 Ir 0.1228 0.6228 0.2456
4 Ir 0.8772 0.3772 0.7544
5 Ir 0.5000 0.5000 0.0000
6 Mn 0.0000 0.0000 0.0000
7 Rh 0.2498 0.2498 0.4997
8 Rh 0.7502 0.7502 0.5003



2.
Below is a relaxed Dy2CoCl crystal, with properties calculated at the PBE level.

Calculated values
Calculated volume ... 23.1 Å³/atom
Magnetic moment ... 0.00 μB per atom
Crystal system ... trigonal
Energy ... -5.391 eV per atom
Symmetry ... R-3m, No. 166

abc: 3.8107 3.8107 7.6789
angles: 75.63 75.63 60.00
Element x y z (fractional)
1 Cl 0.5000 0.5000 0.5000
2 Co 0.0000 0.0000 0.0000
3 Dy 0.7329 0.7329 0.8014
4 Dy 0.2671 0.2671 0.1986



3.
Below is a relaxed K2NbS4 crystal, with properties calculated at the PBE level.

Calculated values
Calculated volume ... 27.5 Å³/atom
Magnetic moment ... 0.14 μB per atom
Crystal system ... tetragonal
Energy ... -4.984 eV per atom
Symmetry ... I4/mmm, No. 139

abc: 4.9117 4.9117 8.6950
angles: 73.59 73.59 90.00
Element x y z (fractional)
1 K 0.3548 0.3548 0.2905
2 K 0.6452 0.6452 0.7095
3 S 0.0000 0.5000 0.0000
4 S 0.1510 0.1510 0.6981
5 S 0.8490 0.8490 0.3019
6 S 0.5000 0.0000 0.0000
7 Nb 0.0000 0.0000 0.0000



4.
Below is a relaxed RbNa4Au crystal, with properties calculated at the PBE level.

Calculated values
Formation enthalpy at 0 K ... 0.0415 eV per atom
Calculated volume ... 34.8 Å³/atom
Magnetic moment ... 0.00 μB per atom
Crystal system ... cubic
Energy ... -1.545 eV per atom
Symmetry ... F-43m, No. 216

abc: 6.6574 6.6574 6.6574
angles: 60.00 60.00 60.00
Element x y z (fractional)
1 Na 0.1183 0.6272 0.6272
2 Na 0.6272 0.6272 0.1183
3 Na 0.6272 0.6272 0.6272
4 Na 0.6272 0.1183 0.6272
5 Au 0.0000 0.0000 0.0000
6 Rb 0.2500 0.2500 0.2500



5.
Below is a relaxed NiPtBr2 crystal, with properties calculated at the PBE level.

Calculated values
Calculated volume ... 21.9 Å³/atom
Magnetic moment ... 0.15 μB per atom
Crystal system ... orthorhombic
Energy ... -3.320 eV per atom
Symmetry ... Immm, No. 71

abc: 5.4235 5.4235 5.4235
angles: 144.55 100.77 89.91
Element x y z (fractional)
1 Br 0.5179 0.5179 0.0000
2 Br 0.9821 0.9821 0.0000
3 Ni 0.7500 0.2500 0.5000
4 Pt 0.2500 0.7500 0.5000



6.
Below is a relaxed SiCNO2 crystal, with properties calculated at the PBE level.

Calculated values
Calculated volume ... 7.5 Å³/atom
Magnetic moment ... 0.00 μB per atom
Crystal system ... tetragonal
Energy ... -5.461 eV per atom
Symmetry ... P4/mmm, No. 123

abc: 3.2470 3.2470 3.5599
angles: 90.00 90.00 90.00
Element x y z (fractional)
1 C 0.0000 0.0000 0.0000
2 O 0.5000 0.0000 0.0000
3 O 0.0000 0.5000 0.0000
4 N 0.0000 0.0000 0.5000
5 Si 0.5000 0.5000 0.5000



7.
Below is a relaxed Hf3Th crystal, with properties calculated at the PBE level.

Calculated values
Formation enthalpy at 0 K ... 0.1440 eV per atom
Calculated volume ... 24.8 Å³/atom
Magnetic moment ... 0.00 μB per atom
Crystal system ... orthorhombic
Energy ... -9.176 eV per atom
Symmetry ... Pmm2, No. 25

abc: 3.2322 5.3151 5.7837
angles: 90.00 90.00 90.00
Element x y z (fractional)
1 Th 0.0000 0.5000 0.3206
2 Hf 0.5000 0.5000 0.8185
3 Hf 0.5000 0.0000 0.5333
4 Hf 0.0000 0.0000 0.9942



8.
Below is a relaxed CeHoTmHg crystal, with properties calculated at the PBE level.

Calculated values
Formation enthalpy at 0 K ... 0.0205 eV per atom
Calculated volume ... 26.1 Å³/atom
Magnetic moment ... 0.14 μB per atom
Crystal system ... cubic
Energy ... -3.801 eV per atom
Symmetry ... F-43m, No. 216

abc: 5.2880 5.2880 5.2880
angles: 60.00 60.00 60.00
Element x y z (fractional)
1 Ce 0.7500 0.7500 0.7500
2 Ho 0.0000 0.0000 0.0000
3 Tm 0.5000 0.5000 0.5000
4 Hg 0.2500 0.2500 0.2500